# 1
VASP calculation (PBE) on crystalline CuTeBr2 at its relaxed geometry.

Calculated values
Total DFT energy (no corrections) (eV/f.u.): -11.1
Mass density (Mg/m³): 4.8

Unit cell a=3.596 b=3.713 c=9.072 alpha=90.00 beta=94.49 gamma=90.00
Positions (direct):
Cu (0.000, 0.000, 0.000)
Te (0.040, 0.500, 0.199)
Br (0.090, 0.000, 0.449)
Br (0.965, 0.500, 0.833)



# 2
VASP calculation (PBE) on crystalline CuTeBr2 at its relaxed geometry.

Calculated values
Total DFT energy (no corrections) (eV/f.u.): -11.1
Mass density (Mg/m³): 4.6

Unit cell a=8.740 b=10.016 c=5.844 alpha=90.00 beta=90.00 gamma=90.00
Positions (direct):
Cu (0.036, 0.076, 0.000)
Cu (0.464, 0.576, 0.500)
Cu (0.536, 0.424, 0.000)
Cu (0.964, 0.924, 0.500)
Te (0.047, 0.529, 0.679)
Te (0.453, 0.029, 0.179)
Te (0.547, 0.971, 0.679)
Te (0.953, 0.471, 0.179)
Br (0.117, 0.878, 0.178)
Br (0.152, 0.270, 0.179)
Br (0.348, 0.770, 0.679)
Br (0.383, 0.378, 0.678)
Br (0.617, 0.622, 0.178)
Br (0.652, 0.230, 0.179)
Br (0.848, 0.730, 0.679)
Br (0.883, 0.122, 0.678)



# 3
VASP calculation (PBE) on crystalline Cu2TeBr at its relaxed geometry.

Calculated values
Total DFT energy (no corrections) (eV/f.u.): -12.9
Mass density (Mg/m³): 6.6

Unit cell a=3.750 b=3.750 c=20.854 alpha=90.00 beta=90.00 gamma=120.00
Positions (direct):
Cu (0.000, 0.000, 0.000)
Cu (0.000, 0.000, 0.180)
Cu (0.333, 0.667, 0.667)
Cu (0.333, 0.667, 0.847)
Cu (0.667, 0.333, 0.333)
Cu (0.667, 0.333, 0.513)
Te (0.000, 0.000, 0.594)
Te (0.333, 0.667, 0.260)
Te (0.667, 0.333, 0.927)
Br (0.000, 0.000, 0.770)
Br (0.333, 0.667, 0.437)
Br (0.667, 0.333, 0.104)



# 4
VASP calculation (PBE) on crystalline Cu2Te4Br at its relaxed geometry.

Calculated values
Total DFT energy (no corrections) (eV/f.u.): -22.6
Mass density (Mg/m³): 5.6

Unit cell a=8.041 b=8.042 c=8.441 alpha=113.57 beta=113.64 gamma=99.15
Positions (direct):
Cu (0.000, 0.000, 0.000)
Cu (0.026, 0.974, 0.500)
Cu (0.142, 0.643, 0.286)
Cu (0.669, 0.116, 0.786)
Te (0.222, 0.344, 0.087)
Te (0.279, 0.901, 0.200)
Te (0.330, 0.884, 0.685)
Te (0.370, 0.196, 0.586)
Te (0.789, 0.842, 0.601)
Te (0.868, 0.763, 0.101)
Te (0.910, 0.305, 0.185)
Te (0.926, 0.253, 0.700)
Br (0.394, 0.618, 0.893)
Br (0.644, 0.369, 0.393)



# 5
VASP calculation (PBE) on crystalline CuTeBr2 at its relaxed geometry.

Calculated values
Total DFT energy (no corrections) (eV/f.u.): -10.3
Mass density (Mg/m³): 5.9

Unit cell a=3.620 b=3.620 c=25.935 alpha=90.00 beta=90.00 gamma=120.00
Positions (direct):
Cu (0.000, 0.000, 0.000)
Cu (0.333, 0.667, 0.667)
Cu (0.667, 0.333, 0.333)
Te (0.000, 0.000, 0.500)
Te (0.333, 0.667, 0.167)
Te (0.667, 0.333, 0.833)
Br (0.000, 0.000, 0.275)
Br (0.000, 0.000, 0.725)
Br (0.333, 0.667, 0.392)
Br (0.333, 0.667, 0.942)
Br (0.667, 0.333, 0.058)
Br (0.667, 0.333, 0.608)



# 6
VASP calculation (PBE) on crystalline CuTeBr4 at its relaxed geometry.

Calculated values
Total DFT energy (no corrections) (eV/f.u.): -15.3
Mass density (Mg/m³): 3.9

Unit cell a=8.421 b=8.421 c=8.421 alpha=102.04 beta=102.04 gamma=125.65
Positions (direct):
Cu (0.000, 0.000, 0.000)
Cu (0.750, 0.250, 0.500)
Te (0.253, 0.753, 0.500)
Te (0.503, 0.503, 0.000)
Br (0.141, 0.474, 0.667)
Br (0.224, 0.056, 0.833)
Br (0.224, 0.391, 0.167)
Br (0.351, 0.020, 0.330)
Br (0.690, 0.020, 0.670)
Br (0.770, 0.601, 0.830)
Br (0.770, 0.940, 0.170)
Br (0.806, 0.474, 0.333)



- What is the mass density in the fourth record?
  5.6 Mg/m³



- What is the formula in the first record?
  CuTeBr2



- Among the records above, which one has the lowest mass density?
  CuTeBr4



- mass density of number 4 (Cu2Te4Br)?
  5.6 Mg/m³